1.
## ScAuCl (PBE)

Data for crystalline ScAuCl at its relaxed geometry.

## Properties
Calculated volume ... 69.5 Å³ per cell
E_form (uncorrected) ... -0.720 eV per atom
VASP energy ... -13.616 eV/cell
ρ ... 6.6 g/cm3

Unit cell a=4.615 b=4.615 c=4.615 alpha=60.00 beta=60.00 gamma=60.00
Sites, in units of the cell vectors:
1 Au 0.000 0.000 0.000
2 Cl 0.500 0.500 0.500
3 Sc 0.750 0.750 0.750


2.
## Tl2BiRhO6 (PBE)

Data for crystalline Tl2BiRhO6 at its relaxed geometry.

## Properties
Calculated volume ... 143.7 Å³ per cell
E_form (uncorrected) ... -0.784 eV per atom
VASP energy ... -53.557 eV/cell
ρ ... 9.4 g/cm3

Unit cell a=5.780 b=5.780 c=5.983 alpha=61.12 beta=61.12 gamma=60.00
Sites, in units of the cell vectors:
1 Tl 0.542 0.542 0.373
2 Tl 0.028 0.028 0.917
3 Bi 0.806 0.806 0.581
4 Rh 0.320 0.320 0.040
5 O 0.576 0.205 0.253
6 O 0.205 0.966 0.253
7 O 0.966 0.576 0.253
8 O 0.419 0.673 0.782
9 O 0.673 0.127 0.782
10 O 0.127 0.419 0.782


3.
## Mg2Ni5Ge2Pt (PBE)

Data for crystalline Mg2Ni5Ge2Pt at its relaxed geometry.

## Properties
Calculated volume ... 277.9 Å³ per cell
VASP energy ... -99.824 eV/cell
ρ ... 8.2 g/cm3

Unit cell a=3.528 b=8.876 c=8.876 alpha=90.00 beta=90.00 gamma=90.00
Sites, in units of the cell vectors:
1 Mg 0.000 0.674 0.174
2 Mg 0.000 0.326 0.826
3 Mg 0.000 0.174 0.326
4 Mg 0.000 0.826 0.674
5 Ni 0.500 0.206 0.066
6 Ni 0.500 0.794 0.934
7 Ni 0.500 0.066 0.794
8 Ni 0.500 0.706 0.434
9 Ni 0.500 0.934 0.206
10 Ni 0.500 0.294 0.566
11 Ni 0.500 0.566 0.706
12 Ni 0.500 0.434 0.294
13 Ni 0.500 0.500 0.000
14 Ni 0.500 0.000 0.500
15 Ge 0.000 0.126 0.626
16 Ge 0.000 0.874 0.374
17 Ge 0.000 0.626 0.874
18 Ge 0.000 0.374 0.126
19 Pt 0.000 0.000 0.000
20 Pt 0.000 0.500 0.500


4.
## BaNaCrP2 (PBE)

Data for crystalline BaNaCrP2 at its relaxed geometry.

## Properties
Calculated volume ... 196.1 Å³ per cell
VASP energy ... -17.816 eV/cell
ρ ... 2.3 g/cm3

Unit cell a=5.741 b=5.950 c=5.741 alpha=90.00 beta=90.00 gamma=90.00
Sites, in units of the cell vectors:
1 Cr 0.000 0.500 0.000
2 Na 0.500 0.500 0.500
3 Ba 0.000 0.000 0.000
4 P 0.000 0.000 0.500
5 P 0.500 0.000 0.000


5.
## NdSmDy4 (PBE)

Data for crystalline NdSmDy4 at its relaxed geometry.

## Properties
Calculated volume ... 194.5 Å³ per cell
VASP energy ... -27.787 eV/cell
ρ ... 8.1 g/cm3

Unit cell a=5.043 b=8.007 c=11.329 alpha=148.06 beta=89.95 gamma=108.40
Sites, in units of the cell vectors:
1 Nd 0.500 0.000 0.500
2 Sm 0.000 0.000 0.000
3 Dy 0.833 0.667 0.501
4 Dy 0.167 0.333 0.499
5 Dy 0.334 0.668 0.001
6 Dy 0.666 0.332 0.999


6.
## In4ReOs (PBE)

Data for crystalline In4ReOs at its relaxed geometry.

## Properties
Calculated volume ... 119.3 Å³ per cell
VASP energy ... -26.110 eV/cell
ρ ... 11.6 g/cm3

Unit cell a=5.525 b=5.525 c=5.525 alpha=60.00 beta=60.00 gamma=60.00
Sites, in units of the cell vectors:
1 In 0.875 0.375 0.375
2 In 0.375 0.375 0.875
3 In 0.375 0.875 0.375
4 In 0.375 0.375 0.375
5 Re 0.000 0.000 0.000
6 Os 0.750 0.750 0.750


7.
## BaSr2LaHg (PBE)

Data for crystalline BaSr2LaHg at its relaxed geometry.

## Properties
Calculated volume ... 249.4 Å³ per cell
VASP energy ... -10.841 eV/cell
ρ ... 4.3 g/cm3

Unit cell a=6.396 b=6.396 c=6.096 alpha=90.00 beta=90.00 gamma=90.00
Sites, in units of the cell vectors:
1 Ba 0.500 0.500 0.500
2 Hg 0.000 0.000 0.000
3 Sr 0.000 0.500 0.000
4 Sr 0.500 0.000 0.000
5 La 0.000 0.000 0.500


8.
## NdTaAl4 (PBE)

Data for crystalline NdTaAl4 at its relaxed geometry.

## Properties
Calculated volume ... 111.8 Å³ per cell
VASP energy ... -32.954 eV/cell
ρ ... 6.4 g/cm3

Unit cell a=5.407 b=5.407 c=5.407 alpha=60.00 beta=60.00 gamma=60.00
Sites, in units of the cell vectors:
1 Nd 0.250 0.250 0.250
2 Al 0.626 0.626 0.122
3 Al 0.626 0.122 0.626
4 Al 0.626 0.626 0.626
5 Al 0.122 0.626 0.626
6 Ta 0.000 0.000 0.000


9.
## Eu2YSn (PBE)

Data for crystalline Eu2YSn at its relaxed geometry.

## Properties
Calculated volume ... 123.4 Å³ per cell
VASP energy ... -32.590 eV/cell
ρ ... 6.9 g/cm3

Unit cell a=5.197 b=4.873 c=4.873 alpha=90.00 beta=90.00 gamma=90.00
Sites, in units of the cell vectors:
1 Eu 0.000 0.000 0.500
2 Eu 0.000 0.500 0.000
3 Y 0.500 0.500 0.500
4 Sn 0.500 0.000 0.000


Let's list N(E_F) in order: 3.09, 1.21, 8.29, 4.58, 8.19, 6.17, 5.83, 2.34, 3.48 states/eV/cell.